Entry from Alexandria via LeMat-Bulk: crystalline K3LiHf at its relaxed geometry (GGA-PBE).

POSCAR file:
```
K3LiHf
1.0
6.879 0.000 0.000
0.000 6.879 0.000
0.000 0.000 6.879
K Li Hf
3 1 1
direct
0.000 0.000 0.500
0.000 0.500 0.000
0.500 0.000 0.000
0.500 0.500 0.500
0.000 0.000 0.000
```

Volume   325 Å³/f.u.
E   -1.8197 eV/atom